The following is a DFT calculation (GGA-PBE) of crystalline Ba2InSbW at its relaxed geometry.

Cell: 6.5919 6.5919 5.5926 Å, 90.00 90.00 90.00°
Space group P4/mmm (No. 123)
Symmetry-distinct sites (fractional):
Ba  0.0000  0.5000  0.0000 x2
In  0.0000  0.0000  0.5000 x1
Sb  0.0000  0.0000  0.0000 x1
W  0.5000  0.5000  0.5000 x1

Calculated values
**Total magnetization**: 5.390 Bohr magnetons per cell
**Uncorrected formation energy**: 5.07 eV per formula unit

=====

The following is a DFT calculation (GGA-PBE) of crystalline BaScIn3 at its relaxed geometry.

Cell: 5.6020 5.6020 5.6020 Å, 90.00 90.00 90.00°
Space group Pm-3m (No. 221)
Symmetry-distinct sites (fractional):
Ba  0.0000  0.0000  0.0000 x1
Sc  0.5000  0.5000  0.5000 x1
In  0.0000  0.5000  0.5000 x3

Calculated values
**Excess energy over the best structure of this formula in the dataset**: 0 kJ/mol of formula units
**Total magnetization**: 0.000 Bohr magnetons per cell
**Formation enthalpy at 0 K**: -2.23 kcal/mol of atoms